The following is a PBE-GGA calculation of an optimized crystal structure of SmHfIn, from Alexandria via LeMat-Bulk.

Properties
Its density of states at the Fermi level is 2.86 states/eV/f.u. For the energy of formation, the calculation gives -10.9 kJ per mole of atoms.

Cell lengths 3.4279, 3.4279, 7.0699 Å; angles 104.03, 104.03, 90.00 degrees
Sites, in units of the cell vectors:
In: 0.6761 0.6761 0.3523
Sm: 0.9994 0.9994 0.9989
Hf: 0.3244 0.3244 0.6489